[1]
Compound: CeTh2Pb
Source: the Alexandria database
Functional: PBE-GGA
Structure: relaxed

Computed properties:
SG: Fm-3m, No. 225
M_tot (μB per formula unit): 2.23
Energy relative to the lowest polymorph listed for this composition (meV/atom): 239
Energy relative to the elements (eV/f.u.): 0.20
Density of states at the Fermi level (states/eV/cell): 7.75

The structure in POSCAR format:
```
CeTh2Pb
1.0
0.000 3.934 3.934
3.934 0.000 3.934
3.934 3.934 0.000
Ce Th Pb
1 2 1
Cartesian
0.000 0.000 0.000
1.967 1.967 1.967
5.901 5.901 5.901
3.934 3.934 3.934
```

***

[2]
Compound: Ce2ThPb2
Source: the Alexandria database
Functional: PBE-GGA
Structure: relaxed

Computed properties:
SG: P-3m1, No. 164
M_tot (μB per formula unit): 3.01
Energy relative to the lowest polymorph listed for this composition (meV/atom): 38
Energy relative to the elements (eV/f.u.): -0.68
Density of states at the Fermi level (states/eV/cell): 13.42

The structure in POSCAR format:
```
Ce2ThPb2
1.0
5.494 0.000 0.000
-2.747 4.758 0.000
0.000 0.000 6.591
Ce Th Pb
2 1 2
Cartesian
0.000 3.172 1.433
2.747 1.586 5.157
0.000 0.000 3.295
0.000 3.172 4.728
2.747 1.586 1.862
```

***

[3]
Compound: Ce4ThPb5
Source: the Alexandria database
Functional: PBE-GGA
Structure: relaxed

Computed properties:
SG: P4/mmm, No. 123
M_tot (μB per formula unit): 3.17
Energy relative to the elements (eV/f.u.): -3.79
Density of states at the Fermi level (states/eV/cell): 23.05

The structure in POSCAR format:
```
Ce4ThPb5
1.0
4.235 0.000 0.000
0.000 4.235 0.000
0.000 0.000 16.497
Ce Th Pb
4 1 5
Cartesian
0.000 0.000 1.646
0.000 0.000 4.897
0.000 0.000 11.600
0.000 0.000 14.851
0.000 0.000 8.248
2.117 2.117 0.000
2.117 2.117 3.286
2.117 2.117 6.579
2.117 2.117 9.918
2.117 2.117 13.210
```

***

[4]
Compound: CeTh3Pb
Source: the Alexandria database
Functional: PBE-GGA
Structure: relaxed

Computed properties:
SG: P2_1/m, No. 11
M_tot (μB per formula unit): 0.00
Energy relative to the lowest polymorph listed for this composition (meV/atom): 68
Energy relative to the elements (eV/f.u.): 0.28
Density of states at the Fermi level (states/eV/cell): 15.16

The structure in POSCAR format:
```
CeTh3Pb
1.0
9.738 0.000 0.000
0.000 3.493 0.000
-4.280 0.000 9.250
Ce Th Pb
2 6 2
Cartesian
-1.179 0.873 4.211
6.637 2.620 5.038
-3.569 0.873 7.864
0.123 2.620 7.034
1.832 0.873 3.490
3.626 2.620 5.760
5.335 0.873 2.216
9.027 2.620 1.386
2.794 2.620 0.727
2.664 0.873 8.523
```